# BeCr4Rh, relaxed, DFT GGA-PBE
# - SG: F-43m (216)
# - Density of states at the Fermi level: 1.09 states/eV per atom
# - Energy of formation: 0.187 eV/atom
# - Crystal system: cubic
# - Uncorrected energy: -48.450 eV/cell
data_BeCr4Rh
_cell_length_a 4.676
_cell_length_b 4.676
_cell_length_c 4.676
_cell_angle_alpha 60.00
_cell_angle_beta 60.00
_cell_angle_gamma 60.00
_symmetry_space_group_name_H-M 'P 1'
_symmetry_Int_Tables_number 1
loop_
_symmetry_equiv_pos_as_xyz
'x,y,z'
loop_
_atom_site_label
_atom_site_fract_x
_atom_site_fract_y
_atom_site_fract_z
Be1 0.000 0.000 0.000
Cr1 0.117 0.628 0.628
Cr2 0.628 0.628 0.628
Cr3 0.628 0.117 0.628
Rh1 0.250 0.250 0.250
Cr4 0.628 0.628 0.117

---

# CrBi3As, relaxed, DFT GGA-PBE
# - SG: Pm-3m (221)
# - Density of states at the Fermi level: 0.45 states/eV per atom
# - Distance to the lowest polymorph of the same formula: 0.00 eV per formula unit
# - Energy of formation: 0.591 eV/atom
# - Crystal system: cubic
# - Uncorrected energy: -22.963 eV/cell
data_CrBi3As
_cell_length_a 5.140
_cell_length_b 5.140
_cell_length_c 5.140
_cell_angle_alpha 90.00
_cell_angle_beta 90.00
_cell_angle_gamma 90.00
_symmetry_space_group_name_H-M 'P 1'
_symmetry_Int_Tables_number 1
loop_
_symmetry_equiv_pos_as_xyz
'x,y,z'
loop_
_atom_site_label
_atom_site_fract_x
_atom_site_fract_y
_atom_site_fract_z
Bi1 0.000 0.000 0.500
Bi2 0.500 0.000 0.000
Bi3 0.000 0.500 0.000
As1 0.500 0.500 0.500
Cr1 0.000 0.000 0.000

---

# BaINO2, relaxed, DFT GGA-PBE
# - ΔE_f (raw): -0.5432 eV per atom
# - SG: P4/mmm (123)
# - Density of states at the Fermi level: 0.19 states/eV per atom
# - Crystal system: tetragonal
# - Uncorrected energy: -24.431 eV/cell
data_BaINO2
_cell_length_a 4.407
_cell_length_b 4.407
_cell_length_c 4.154
_cell_angle_alpha 90.00
_cell_angle_beta 90.00
_cell_angle_gamma 90.00
_symmetry_space_group_name_H-M 'P 1'
_symmetry_Int_Tables_number 1
loop_
_symmetry_equiv_pos_as_xyz
'x,y,z'
loop_
_atom_site_label
_atom_site_fract_x
_atom_site_fract_y
_atom_site_fract_z
I1 0.000 0.000 0.000
N1 0.000 0.000 0.500
O1 0.500 0.000 0.000
O2 0.000 0.500 0.000
Ba1 0.500 0.500 0.500

---

# Th2ZnCdRu, relaxed, DFT GGA-PBE
# - SG: P2_1/m (11)
# - Density of states at the Fermi level: 0.83 states/eV per atom
# - Energy of formation: -0.293 eV/atom
# - Crystal system: monoclinic
# - Uncorrected energy: -55.541 eV/cell
data_Th2ZnCdRu
_cell_length_a 4.008
_cell_length_b 8.091
_cell_length_c 8.105
_cell_angle_alpha 110.21
_cell_angle_beta 90.00
_cell_angle_gamma 90.00
_symmetry_space_group_name_H-M 'P 1'
_symmetry_Int_Tables_number 1
loop_
_symmetry_equiv_pos_as_xyz
'x,y,z'
loop_
_atom_site_label
_atom_site_fract_x
_atom_site_fract_y
_atom_site_fract_z
Ru1 0.250 0.877 0.880
Cd1 0.750 0.326 0.681
Zn1 0.750 0.440 0.364
Th1 0.250 0.105 0.351
Zn2 0.250 0.560 0.636
Th2 0.250 0.284 0.993
Ru2 0.750 0.123 0.120
Cd2 0.250 0.674 0.319
Th3 0.750 0.895 0.649
Th4 0.750 0.716 0.007